1.
PmScAu6: relaxed, PBE.

Computed properties:
**Magnetization**: 0.0 μB/cell
**E**: -35.59 eV/cell
**DOS(E_F)**: 4.050 states/eV/f.u.
**Crystal system**: monoclinic
**ΔE_f**: -4.84 eV per formula unit

Structure (POSCAR):
```
PmScAu6
1.0
4.4944 -2.2660 0.0000
4.4944 2.2660 0.0000
-4.4165 0.0000 7.8766
Pm Sc Au
1 1 6
Direct
0.0000 0.0000 0.0000
0.0000 0.0000 0.5000
0.2447 0.2447 0.8517
0.2541 0.2541 0.3892
0.4892 0.4892 0.2505
0.5108 0.5108 0.7495
0.7459 0.7459 0.6108
0.7553 0.7553 0.1483
```

***

2.
PmScAu2: relaxed, PBE.

Computed properties:
**Magnetization**: 0.0 μB/cell
**E**: -20.60 eV/cell
**DOS(E_F)**: 3.297 states/eV/f.u.
**Crystal system**: cubic
**ΔE_f**: -2.97 eV per formula unit
**E above lowest polymorph**: 44 meV per atom

Structure (POSCAR):
```
PmScAu2
1.0
0.0000 3.5645 3.5645
3.5645 0.0000 3.5645
3.5645 3.5645 0.0000
Pm Sc Au
1 1 2
Direct
0.0000 0.0000 0.0000
0.5000 0.5000 0.5000
0.2500 0.2500 0.2500
0.7500 0.7500 0.7500
```

***

3.
PmScAu: relaxed, PBE.

Computed properties:
**Magnetization**: 0.0 μB/cell
**E**: -48.38 eV/cell
**DOS(E_F)**: 2.374 states/eV/f.u.
**Crystal system**: orthorhombic
**ΔE_f**: -1.77 eV per formula unit
**E above lowest polymorph**: 14 meV per atom

Structure (POSCAR):
```
PmScAu
1.0
4.8693 0.0000 0.0000
0.0000 6.3678 3.6624
0.0000 -6.3678 3.6624
Pm Sc Au
3 3 3
Direct
0.0000 0.0000 0.0000
0.0000 0.1840 0.5917
0.0000 0.5917 0.1840
0.5000 0.3367 0.3367
0.5000 0.5926 0.8476
0.5000 0.8476 0.5926
0.0000 0.5916 0.5916
0.5000 0.2596 0.9257
0.5000 0.9257 0.2596
```